[1]
Zr3Ni2N | PBE-GGA | relaxed

Cell: 4.468 6.606 6.669 Å, 90.03 109.57 90.00°
Atoms (fractional coordinates):
Ni 0.298 0.750 0.596
Ni 0.298 0.250 0.596
Ni 0.702 0.750 0.404
Ni 0.702 0.250 0.404
Zr 0.131 0.500 0.262
Zr 0.131 0.000 0.262
Zr 0.869 0.500 0.738
Zr 0.500 0.250 0.000
Zr 0.869 0.000 0.738
Zr 0.500 0.750 0.000
N 0.000 0.750 0.000
N 0.000 0.250 0.000

Output
formation energy from raw total energies = -775 meV/atom
ρ = 7.25 g/cm³
uncorrected energy = -100.37 eV per cell
symmetry = Cmmm, No. 65
V = 15.5 A^3/atom


[2]
CoReSi4 | PBE-GGA | relaxed

Cell: 4.748 4.748 4.748 Å, 60.00 60.00 60.00°
Site moments in Bohr magnetons follow the coordinates.
Atoms (fractional coordinates):
Si 0.625 0.625 0.625  0.00
Si 0.125 0.625 0.625  0.00
Si 0.625 0.625 0.125  0.00
Si 0.625 0.125 0.625  0.00
Re 0.000 0.000 0.000  0.02
Co 0.250 0.250 0.250  0.81

Output
formation energy from raw total energies = 544 meV/atom
ρ = 7.85 g/cm³
uncorrected energy = -37.98 eV per cell
symmetry = F-43m, No. 216
V = 12.6 A^3/atom


[3]
SbPRu | PBE-GGA | relaxed

Cell: 3.544 3.544 5.699 Å, 90.00 90.00 120.00°
Atoms (fractional coordinates):
Sb 0.667 0.333 0.621
P 0.000 0.000 0.109
Ru 0.333 0.667 0.270

Output
formation energy from raw total energies = -33 meV/atom
ρ = 6.80 g/cm³
uncorrected energy = -18.91 eV per cell
energy relative to the lowest polymorph listed for this composition = 0.316 eV/atom
symmetry = P3m1, No. 156
V = 20.7 A^3/atom


[4]
BaHfSe2Br | PBE-GGA | relaxed

Cell: 5.995 5.995 5.836 Å, 90.00 90.00 90.00°
Site moments in Bohr magnetons follow the coordinates.
Atoms (fractional coordinates):
Ba 0.000 0.000 0.000  0.01
Se 0.000 0.500 0.000  0.16
Se 0.500 0.000 0.000  0.16
Hf 0.500 0.500 0.500  -0.36
Br 0.000 0.000 0.500  0.01

Output
formation energy from raw total energies = 424 meV/atom
ρ = 4.38 g/cm³
uncorrected energy = -18.40 eV per cell
energy relative to the lowest polymorph listed for this composition = 1.862 eV/atom
symmetry = P4/mmm, No. 123
V = 41.9 A^3/atom


[5]
ZrNi2Cl | PBE-GGA | relaxed

Cell: 3.316 3.409 6.132 Å, 91.07 90.00 90.00°
Atoms (fractional coordinates):
Ni 0.000 0.755 0.451
Ni 0.000 0.745 0.049
Cl 0.500 0.750 0.750
Zr 0.500 0.250 0.250

Output
formation energy from raw total energies = -220 meV/atom
ρ = 5.85 g/cm³
uncorrected energy = -22.84 eV per cell
energy relative to the lowest polymorph listed for this composition = 0.108 eV/atom
symmetry = P2/m, No. 10
V = 17.3 A^3/atom


[6]
Y2CoOs | PBE-GGA | relaxed

Cell: 7.262 7.262 7.262 Å, 32.56 32.56 32.56°
Site moments in Bohr magnetons follow the coordinates.
Atoms (fractional coordinates):
Os 0.793 0.793 0.793  0.25
Y 0.036 0.036 0.036  0.00
Y 0.214 0.214 0.214  -0.01
Co 0.457 0.457 0.457  0.63

Output
ρ = 7.19 g/cm³
E_form = -13.90 kJ per mole of atoms
uncorrected energy = -31.84 eV per cell
symmetry = R3m, No. 160
V = 24.7 A^3/atom


[7]
Sr2CuB | PBE-GGA | relaxed

Cell: 7.794 7.794 6.760 Å, 54.80 54.80 90.00°
Atoms (fractional coordinates):
Sr 0.155 0.625 0.250
Sr 0.595 0.125 0.250
Sr 0.875 0.845 0.750
Sr 0.375 0.405 0.750
Cu 0.750 0.250 0.500
Cu 0.000 0.000 0.000
B 0.250 0.750 0.500
B 0.500 0.500 0.000

Output
ρ = 3.49 g/cm³
E_form = 72.95 kJ per mole of atoms
uncorrected energy = -22.23 eV per cell
symmetry = I-42d, No. 122
V = 29.7 A^3/atom


[8]
TmPaAu | PBE-GGA | relaxed

Cell: 4.946 4.946 6.700 Å, 90.00 90.00 120.00°
Site moments in Bohr magnetons follow the coordinates.
Atoms (fractional coordinates):
Tm 0.000 0.000 0.771  0.05
Tm 0.000 0.000 0.229  0.05
Pa 0.333 0.667 0.455  0.48
Pa 0.667 0.333 0.545  0.48
Au 0.667 0.333 0.074  0.01
Au 0.333 0.667 0.926  0.01

Output
ρ = 13.97 g/cm³
E_form = -6.74 kJ per mole of atoms
uncorrected energy = -34.91 eV per cell
energy relative to the lowest polymorph listed for this composition = 0.170 eV/atom
symmetry = P-3m1, No. 164
V = 23.7 A^3/atom